DFT (PBE) results for an optimized crystal structure of AcPuH.

Values from the calculation:
The calculation puts the energy relative to the lowest polymorph listed for this composition at 0.0 meV/atom. The space group is No. 12. Its calculated volume is 21.24 Å³/atom.

The structure in POSCAR format:
```
AcPuH
1.0
3.128 -2.205 0.000
3.128 2.205 0.000
-2.094 0.000 9.238
Ac Pu H
2 2 2
Cartesian
0.181 0.000 2.897
3.981 0.000 6.340
-0.138 0.000 9.104
4.300 0.000 0.133
0.037 0.000 5.438
4.125 0.000 3.800
```



DFT (PBE) results for an optimized crystal structure of Tm5CdIn4.

Values from the calculation:
Its energy of formation is -404 meV/atom. The space group is No. 123. Its calculated volume is 25.61 Å³/atom.

The structure in POSCAR format:
```
Tm5CdIn4
1.0
3.690 0.000 0.000
0.000 3.690 0.000
0.000 0.000 18.813
Tm Cd In
5 1 4
Cartesian
0.000 0.000 0.000
0.000 0.000 3.798
0.000 0.000 7.578
0.000 0.000 11.235
0.000 0.000 15.016
1.845 1.845 9.407
1.845 1.845 1.893
1.845 1.845 5.704
1.845 1.845 13.109
1.845 1.845 16.920
```



DFT (PBE) results for an optimized crystal structure of YTi2Cu.

Values from the calculation:
Its energy of formation is 375 meV/atom. The calculation puts the energy relative to the lowest polymorph listed for this composition at 0.0 meV/atom. The space group is No. 122. Its calculated volume is 19.62 Å³/atom.

The structure in POSCAR format:
```
YTi2Cu
1.0
-1.954 1.954 10.276
1.954 -1.954 10.276
1.954 1.954 -10.276
Y Ti Cu
2 4 2
Cartesian
0.000 0.000 0.000
0.000 1.954 5.138
0.977 1.058 -2.569
2.850 0.977 2.569
0.977 0.896 7.707
-0.896 0.977 12.845
1.954 0.000 5.138
0.000 0.000 10.276
```



DFT (PBE) results for an optimized crystal structure of La2CrAs.

Values from the calculation:
Its energy of formation is -520 meV/atom. The space group is No. 38. Its calculated volume is 26.83 Å³/atom.

The structure in POSCAR format:
```
La2CrAs
1.0
4.412 0.000 0.000
0.000 2.103 5.782
0.000 -2.103 5.782
La Cr As
2 1 1
Cartesian
0.000 0.000 0.000
2.206 0.000 3.282
0.000 0.000 8.184
2.206 0.000 6.619
```